(1)
A plane-wave DFT calculation with GGA-PBE was carried out for a relaxed structure of PmYPbI.

Unit cell a=5.5185 b=5.5185 c=5.5185 alpha=60.00 beta=60.00 gamma=60.00
Closest atoms and distances in Å follow each position.
Fractional coordinates of all 4 atoms:
Pb 0.7500 0.7500 0.7500  4 Pm 3.38, 4 Y 3.38
I 0.2500 0.2500 0.2500  4 Y 3.38, 4 Pm 3.38
Y 0.5000 0.5000 0.5000  4 I 3.38, 4 Pb 3.38
Pm 0.0000 0.0000 0.0000  4 Pb 3.38, 4 I 3.38

Properties
- Fermi-level density of states: 3.8 states/eV/cell
- Formation energy (no corrections): -0.58 eV per atom
- Space group: F-43m, No. 216
- Calculated total energy: -4.697 eV per atom


(2)
A plane-wave DFT calculation with GGA-PBE was carried out for a relaxed structure of LaCd2MoPd.

Unit cell a=5.2661 b=4.7875 c=5.2661 alpha=90.00 beta=90.00 gamma=90.00
Closest atoms and distances in Å follow each position.
Fractional coordinates of all 5 atoms:
Mo 0.0000 0.0000 0.0000  2 Pd 2.39, 4 Cd 2.63
Cd 0.0000 0.0000 0.5000  2 Mo 2.63
Cd 0.5000 0.0000 0.0000  2 Mo 2.63
Pd 0.0000 0.5000 0.0000  2 Mo 2.39
La 0.5000 0.5000 0.5000  8 Cd 3.56, 4 Pd 3.72

Properties
- Fermi-level density of states: 4.5 states/eV/cell
- Space group: P4/mmm, No. 123
- Energy of formation: 0.423 eV/atom
- Calculated total energy: -4.133 eV per atom